(1)
A plane-wave DFT calculation with GGA-PBE was carried out for a relaxed structure of Li2LaDy2Pb2.

Cell lengths 9.556, 9.556, 9.556 Å; angles 29.71, 29.71, 29.71 degrees
Atoms (fractional coordinates):
Li 0.083 0.083 0.083
Li 0.917 0.917 0.917
La 0.500 0.500 0.500
Dy 0.369 0.369 0.369
Dy 0.631 0.631 0.631
Pb 0.240 0.240 0.240
Pb 0.760 0.760 0.760

energy of formation	-0.3514	eV/atom



(2)
A plane-wave DFT calculation with GGA-PBE was carried out for a relaxed structure of Rb3Sn4Ge2.

Cell lengths 9.665, 9.665, 7.789 Å; angles 98.76, 98.76, 78.24 degrees
Atoms (fractional coordinates):
Rb 0.093 0.907 0.750
Rb 0.267 0.492 0.434
Rb 0.492 0.267 0.934
Rb 0.508 0.733 0.066
Rb 0.733 0.508 0.566
Rb 0.907 0.093 0.250
Sn 0.073 0.286 0.682
Sn 0.157 0.545 0.916
Sn 0.286 0.073 0.182
Sn 0.455 0.843 0.584
Sn 0.545 0.157 0.416
Sn 0.714 0.927 0.818
Sn 0.843 0.455 0.084
Sn 0.927 0.714 0.318
Ge 0.115 0.304 0.045
Ge 0.304 0.115 0.545
Ge 0.696 0.885 0.455
Ge 0.885 0.696 0.955

energy of formation	-0.1091	eV/atom
energy above the lowest structure with this stoichiometry	0.00	kJ per mole of atoms



(3)
A plane-wave DFT calculation with GGA-PBE was carried out for a relaxed structure of Cs4TlHg2As2.

Cell lengths 9.358, 9.358, 6.171 Å; angles 106.42, 106.42, 60.05 degrees
Atoms (fractional coordinates):
Cs 0.083 0.609 0.830
Cs 0.391 0.917 0.170
Cs 0.609 0.083 0.830
Cs 0.917 0.391 0.170
Tl 0.000 0.000 0.500
Hg 0.400 0.400 0.366
Hg 0.600 0.600 0.634
As 0.164 0.164 0.680
As 0.836 0.836 0.320

energy of formation	-0.2542	eV/atom



(4)
A plane-wave DFT calculation with GGA-PBE was carried out for a relaxed structure of BaBeBr2.

Cell lengths 8.996, 8.996, 8.996 Å; angles 32.28, 32.28, 32.28 degrees
Atoms (fractional coordinates):
Ba 0.000 0.000 0.000
Be 0.500 0.500 0.500
Br 0.273 0.273 0.273
Br 0.727 0.727 0.727

energy relative to the elements, uncorrected	-699	meV per atom
energy above the lowest structure with this stoichiometry	16.77	kJ per mole of atoms



(5)
A plane-wave DFT calculation with GGA-PBE was carried out for a relaxed structure of Pa6AsSe3S2.

Cell lengths 6.891, 6.891, 7.143 Å; angles 99.34, 99.34, 120.92 degrees
Atoms (fractional coordinates):
Pa 0.074 0.420 0.764
Pa 0.228 0.228 0.229
Pa 0.420 0.074 0.764
Pa 0.580 0.926 0.236
Pa 0.772 0.772 0.771
Pa 0.926 0.580 0.236
As 0.500 0.500 0.000
Se 0.000 0.000 0.500
Se 0.341 0.659 0.500
Se 0.659 0.341 0.500
S 0.169 0.831 0.000
S 0.831 0.169 0.000

energy relative to the elements, uncorrected	-1319	meV per atom



(6)
A plane-wave DFT calculation with GGA-PBE was carried out for a relaxed structure of Tm6CN3O2.

Cell lengths 5.894, 5.894, 5.904 Å; angles 99.60, 99.60, 119.96 degrees
Atoms (fractional coordinates):
Tm 0.085 0.414 0.756
Tm 0.244 0.244 0.246
Tm 0.414 0.085 0.756
Tm 0.586 0.915 0.244
Tm 0.756 0.756 0.754
Tm 0.915 0.586 0.244
C 0.000 0.000 0.500
N 0.166 0.834 0.000
N 0.500 0.500 0.000
N 0.834 0.166 0.000
O 0.334 0.666 0.500
O 0.666 0.334 0.500

energy relative to the elements, uncorrected	-2064	meV per atom



(7)
A plane-wave DFT calculation with GGA-PBE was carried out for a relaxed structure of NbAg2Os4.

Cell lengths 7.387, 7.387, 7.387 Å; angles 142.36, 142.36, 54.29 degrees
Atoms (fractional coordinates):
Nb 0.000 0.000 0.000
Ag 0.387 0.387 0.000
Ag 0.613 0.613 0.000
Os 0.000 0.500 0.500
Os 0.187 0.187 0.000
Os 0.500 0.000 0.500
Os 0.813 0.813 0.000

energy of formation	2.2497	eV/atom